Entry 1:
First-principles (PBE) data for an optimized crystal structure of DyTm2Si, as listed in Alexandria.

Cell: 3.4882 3.4882 32.3628 Å, 90.00 90.00 120.00°
Space group R-3m (No. 166, hexagonal axes)
Symmetry-distinct sites (fractional):
Dy  0.0000  0.0000  0.0000 x3
Tm  0.0000  0.0000  0.1059 x6
Si  0.0000  0.0000  0.5000 x3

---

Entry 2:
First-principles (PBE) data for an optimized crystal structure of DyTmSi, as listed in Alexandria.

Cell: 11.1384 4.1442 7.9818 Å, 90.00 125.72 90.00°
Space group C2/m (No. 12)
Symmetry-distinct sites (fractional):
Dy  0.0857  0.0000  0.3606 x4
Tm  0.1750  0.5000  0.0771 x4
Si  0.1237  0.5000  0.6610 x4

## Properties
- Energy above the lowest structure with this stoichiometry: 0.000 eV per atom

---

Entry 3:
First-principles (PBE) data for an optimized crystal structure of Dy5Tm12Si3, as listed in Alexandria.

Cell: 17.8184 17.8184 17.8184 Å, 90.00 90.00 90.00°
Space group Ia-3d (No. 230)
Symmetry-distinct sites (fractional):
Dy  0.0000  0.0000  0.0000 x16
Dy  0.0000  0.2500  0.3750 x24
Tm  0.0097  0.0956  0.6440 x96
Si  0.0000  0.2500  0.1250 x24

---

Entry 4:
First-principles (PBE) data for an optimized crystal structure of Dy2TmSi6, as listed in Alexandria.

Cell: 7.0803 7.0803 3.9129 Å, 90.00 90.00 120.00°
Space group P6/mmm (No. 191)
Symmetry-distinct sites (fractional):
Dy  0.3333  0.6667  0.0000 x2
Tm  0.0000  0.0000  0.0000 x1
Si  0.0000  0.3325  0.5000 x6

---

Entry 5:
First-principles (PBE) data for an optimized crystal structure of Dy2Tm2Si3, as listed in Alexandria.

Cell: 8.4213 4.8606 8.7089 Å, 90.00 108.91 90.00°
Space group C2/m (No. 12)
Symmetry-distinct sites (fractional):
Dy  0.1268  0.0000  0.3799 x4
Tm  0.1222  0.5000  0.8670 x4
Si  0.0000  0.5000  0.5000 x2
Si  0.2386  0.5000  0.2155 x4

---

Entry 6:
First-principles (PBE) data for an optimized crystal structure of DyTmSi4, as listed in Alexandria.

Cell: 8.7926 13.5944 4.1910 Å, 90.00 90.00 90.00°
Space group Pbam (No. 55)
Symmetry-distinct sites (fractional):
Dy  0.0457  0.1321  0.0000 x4
Tm  0.1456  0.4155  0.0000 x4
Si  0.0404  0.2847  0.5000 x4
Si  0.0979  0.5629  0.5000 x4
Si  0.1403  0.9912  0.5000 x4
Si  0.1853  0.8167  0.5000 x4

---

Entry 7:
First-principles (PBE) data for an optimized crystal structure of Dy2TmSi2, as listed in Alexandria.

Cell: 12.0894 4.2724 10.3380 Å, 90.00 116.73 90.00°
Space group C2/m (No. 12)
Symmetry-distinct sites (fractional):
Dy  0.0164  0.0000  0.1883 x4
Dy  0.1804  0.0000  0.5889 x4
Tm  0.2218  0.5000  0.8632 x4
Si  0.0189  0.5000  0.3943 x4
Si  0.1116  0.5000  0.0594 x4

## Properties
- Energy above the lowest structure with this stoichiometry: 0.099 eV per atom

---

Entry 8:
First-principles (PBE) data for an optimized crystal structure of DyTmSi, as listed in Alexandria.

Cell: 6.7925 6.7925 6.7925 Å, 90.00 90.00 90.00°
Space group F-43m (No. 216)
Symmetry-distinct sites (fractional):
Dy  0.0000  0.0000  0.0000 x4
Tm  0.0000  0.0000  0.5000 x4
Si  0.2500  0.2500  0.7500 x4

## Properties
- Energy above the lowest structure with this stoichiometry: 0.071 eV per atom

---

Entry 9:
First-principles (PBE) data for an optimized crystal structure of Dy2TmSi2, as listed in Alexandria.

Cell: 7.4197 7.4197 4.2199 Å, 90.00 90.00 90.00°
Space group P4/mbm (No. 127)
Symmetry-distinct sites (fractional):
Dy  0.1760  0.3240  0.0000 x4
Tm  0.0000  0.0000  0.5000 x2
Si  0.1174  0.6174  0.5000 x4

## Properties
- Energy above the lowest structure with this stoichiometry: 0.000 eV per atom

---

Entry 10:
First-principles (PBE) data for an optimized crystal structure of DyTmZnSi, as listed in Alexandria.

Cell: 6.9825 6.9825 6.9825 Å, 90.00 90.00 90.00°
Space group F-43m (No. 216)
Symmetry-distinct sites (fractional):
Dy  0.0000  0.0000  0.0000 x4
Tm  0.0000  0.0000  0.5000 x4
Zn  0.2500  0.2500  0.7500 x4
Si  0.2500  0.2500  0.2500 x4

## Properties
- Energy above the lowest structure with this stoichiometry: 0.116 eV per atom

---

Entry 11:
First-principles (PBE) data for an optimized crystal structure of DyTmZnSi, as listed in Alexandria.

Cell: 4.0361 4.1420 10.7298 Å, 90.00 90.00 90.00°
Space group Amm2 (No. 38)
Symmetry-distinct sites (fractional):
Dy  0.0000  0.0000  0.0000 x2
Tm  0.5000  0.0000  0.2840 x2
Zn  0.5000  0.0000  0.5725 x2
Si  0.0000  0.0000  0.7182 x2

## Properties
- Energy above the lowest structure with this stoichiometry: 0.000 eV per atom

---

Entry 12:
First-principles (PBE) data for an optimized crystal structure of DyUSi, as listed in Alexandria.

Cell: 3.0010 11.5243 7.7678 Å, 90.00 90.00 90.00°
Space group Pmc2_1 (No. 26)
Symmetry-distinct sites (fractional):
Dy  0.0000  0.1673  0.0000 x2
Dy  0.0000  0.2984  0.6198 x2
U  0.0000  0.1066  0.3759 x2
U  0.0000  0.4578  0.9716 x2
Si  0.5000  0.0663  0.6867 x2
Si  0.5000  0.3323  0.2705 x2

---

It is found that the volume values, taken in the order of the records, are 341.0; 299.1; 5657.2; 169.9; 337.2; 500.9; 476.9; 313.4; 232.3; 340.4; 179.4; 268.6 Å³ per cell.
It is found that the energy relative to the elements, uncorrected values, taken in the order of the records, are 0.03; -0.53; 0.77; -0.51; -0.51; -0.40; -0.62; -0.46; -0.72; -0.45; -0.57; 0.14 eV per atom.